This record from the Alexandria database describes a relaxed YTmMgCu crystal. The functional is GGA-PBE.

* space group: No. 99
* total magnetization: 0.00 μB/cell
* formation enthalpy at 0 K: -0.16 eV per atom
* theoretical density: 5.98 g cm⁻³
* DOS(E_F): 3.6 states/eV per cell

```
YTmMgCu
1.0
3.468 0.000 0.000
0.000 3.468 0.000
0.000 0.000 7.981
Y Tm Mg Cu
1 1 1 1
direct
0.000 0.000 0.000
0.000 0.000 0.422
0.500 0.500 0.708
0.500 0.500 0.223
```

---

This record from the Alexandria database describes a relaxed Ba2SrGeO crystal. The functional is GGA-PBE.

* space group: No. 123
* total magnetization: 0.00 μB/cell
* formation energy (no corrections): -6.44 eV per formula unit
* theoretical density: 4.94 g cm⁻³
* DOS(E_F): 0.4 states/eV per cell

```
Ba2SrGeO
1.0
5.433 0.000 0.000
0.000 5.433 0.000
0.000 0.000 5.136
Ba Sr Ge O
2 1 1 1
direct
0.000 0.500 0.000
0.500 0.000 0.000
0.000 0.000 0.500
0.500 0.500 0.500
0.000 0.000 0.000
```

---

This record from the Alexandria database describes a relaxed Tm12H5Pb3 crystal. The functional is GGA-PBE.

* space group: No. 230
* total magnetization: 0.00 μB/cell
* theoretical density: 9.54 g cm⁻³
* DOS(E_F): 56.9 states/eV per cell
* DFT total energy: -4.312 eV per atom

```
Tm12H5Pb3
1.0
-7.730 7.730 7.730
7.730 -7.730 7.730
7.730 7.730 -7.730
Tm H Pb
48 20 12
direct
0.009 0.202 0.106
0.009 0.306 0.903
0.096 0.702 0.694
0.096 0.894 0.403
0.097 0.606 0.404
0.097 0.991 0.694
0.106 0.009 0.202
0.106 0.597 0.904
0.194 0.202 0.596
0.194 0.491 0.597
0.202 0.106 0.009
0.202 0.596 0.194
0.298 0.306 0.904
0.298 0.491 0.394
0.306 0.903 0.009
0.306 0.904 0.298
0.394 0.298 0.491
0.394 0.596 0.903
0.403 0.096 0.894
0.403 0.806 0.509
0.404 0.097 0.606
0.404 0.806 0.798
0.491 0.394 0.298
0.491 0.597 0.194
0.509 0.403 0.806
0.509 0.606 0.702
0.596 0.194 0.202
0.596 0.903 0.394
0.597 0.194 0.491
0.597 0.904 0.106
0.606 0.404 0.097
0.606 0.702 0.509
0.694 0.096 0.702
0.694 0.097 0.991
0.702 0.509 0.606
0.702 0.694 0.096
0.798 0.404 0.806
0.798 0.894 0.991
0.806 0.509 0.403
0.806 0.798 0.404
0.894 0.403 0.096
0.894 0.991 0.798
0.903 0.009 0.306
0.903 0.394 0.596
0.904 0.106 0.597
0.904 0.298 0.306
0.991 0.694 0.097
0.991 0.798 0.894
0.000 0.000 0.000
0.000 0.000 0.500
0.000 0.500 0.000
0.000 0.500 0.500
0.125 0.750 0.875
0.125 0.875 0.250
0.250 0.125 0.875
0.250 0.625 0.375
0.375 0.250 0.625
0.375 0.625 0.750
0.500 0.000 0.000
0.500 0.000 0.500
0.500 0.500 0.000
0.500 0.500 0.500
0.625 0.375 0.250
0.625 0.750 0.375
0.750 0.375 0.625
0.750 0.875 0.125
0.875 0.125 0.750
0.875 0.250 0.125
0.125 0.250 0.375
0.125 0.375 0.750
0.250 0.375 0.125
0.250 0.875 0.625
0.375 0.125 0.250
0.375 0.750 0.125
0.625 0.250 0.875
0.625 0.875 0.750
0.750 0.125 0.375
0.750 0.625 0.875
0.875 0.625 0.250
0.875 0.750 0.625
```

---

Look up the theoretical density of the third one.
9.54 g cm⁻³